VASP calculation (PBE-GGA) on a relaxed Hf10Sn3Pb3 crystal.

a b c (Å): 8.497 8.497 5.763
angles (deg): 90.00 90.00 120.00
Element x y z (fractional)
1 Hf 0.000 0.241 0.000
2 Hf 0.000 0.755 0.500
3 Hf 0.241 0.000 0.000
4 Hf 0.245 0.245 0.500
5 Hf 0.333 0.667 0.253
6 Hf 0.333 0.667 0.747
7 Hf 0.667 0.333 0.253
8 Hf 0.667 0.333 0.747
9 Hf 0.755 0.000 0.500
10 Hf 0.759 0.759 0.000
11 Sn 0.000 0.391 0.500
12 Sn 0.391 0.000 0.500
13 Sn 0.609 0.609 0.500
14 Pb 0.000 0.605 0.000
15 Pb 0.395 0.395 0.000
16 Pb 0.605 0.000 0.000

DFT formation energy	-203	meV/atom
electronic total energy	-0.578	Ry per atom
magnetization	0.00	μB/cell